(P)
Below is a PBEsol-optimized structure of TcPt2Rh, with properties calculated at the SCAN level.

a = 2.704 Å, b = 3.890 Å, c = 5.406 Å
α = 90.00°, β = 90.00°, γ = 90.00°
Space group Pmmm (No. 47)
Inequivalent atoms, fractional coordinates:
Tc  0.000  0.000  0.000
Pt  0.500  0.500  0.245
Rh  0.000  0.000  0.500

Size of the total moment, μB per cell: 0.00
Crystal system: orthorhombic
Calculated volume, Å³/atom: 14.2

(Q)
Below is a PBEsol-optimized structure of TcPt2Rh, with properties calculated at the SCAN level.

a = 3.825 Å, b = 3.825 Å, c = 7.771 Å
α = 90.00°, β = 90.00°, γ = 90.00°
Space group I-4m2 (No. 119)
Inequivalent atoms, fractional coordinates:
Tc  0.000  0.000  0.000
Pt  0.000  0.000  0.500
Pt  0.000  0.500  0.750
Rh  0.000  0.500  0.250

Size of the total moment, μB per cell: 0.00
Crystal system: tetragonal
Calculated volume, Å³/atom: 14.2

(R)
Below is a PBEsol-optimized structure of TcPt2Rh, with properties calculated at the SCAN level.

a = 9.049 Å, b = 2.712 Å, c = 4.711 Å
α = 90.00°, β = 99.85°, γ = 90.00°
Space group C2/m (No. 12)
Inequivalent atoms, fractional coordinates:
Tc  0.000  0.000  0.000
Pt  0.249  0.500  0.246
Rh  0.000  0.500  0.500

Size of the total moment, μB per cell: 0.00
Crystal system: monoclinic
Calculated volume, Å³/atom: 14.2

Relative energies in eV/atom: (P) 0.008; (Q) 0.000; (R) 0.059

(P)
Below is a PBEsol-optimized structure of TcPt2Rh, with properties calculated at the SCAN level.

a = 9.067 Å, b = 2.694 Å, c = 4.725 Å
α = 90.00°, β = 99.64°, γ = 90.00°
Space group Cm (No. 8)
Inequivalent atoms, fractional coordinates:
Tc  0.000  0.000  0.000
Pt  0.003  0.500  0.507
Pt  0.249  0.500  0.248
Rh  0.255  0.000  0.763

Size of the total moment, μB per cell: 0.00
Crystal system: monoclinic
Calculated volume, Å³/atom: 14.2

(Q)
Below is a PBEsol-optimized structure of TcPt2Rh, with properties calculated at the SCAN level.

a = 2.7118 Å, b = 2.7118 Å, c = 26.9386 Å
α = 90.00°, β = 90.00°, γ = 120.00°
Space group R3m (No. 160, hexagonal axes)
Inequivalent atoms, fractional coordinates:
Tc  0.0000  0.0000  0.0000
Pt  0.0000  0.0000  0.5038
Pt  0.0000  0.0000  0.7492
Rh  0.0000  0.0000  0.2562

Size of the total moment, μB per cell: 0.00
Crystal system: trigonal
Calculated volume, Å³/atom: 14.3

(R)
Below is a PBEsol-optimized structure of TcPt2Rh, with properties calculated at the SCAN level.

a = 2.704 Å, b = 2.704 Å, c = 7.819 Å
α = 90.00°, β = 90.00°, γ = 90.00°
Space group P4mm (No. 99)
Inequivalent atoms, fractional coordinates:
Tc  0.000  0.000  0.000
Pt  0.000  0.000  0.513
Pt  0.500  0.500  0.246
Rh  0.500  0.500  0.769

Size of the total moment, μB per cell: 0.00
Crystal system: tetragonal
Calculated volume, Å³/atom: 14.3

Relative energies in eV/atom: (P) 0.029; (Q) 0.056; (R) 0.000

(P)
Below is a PBEsol-optimized structure of TcPtRh2, with properties calculated at the SCAN level.

a = 2.6914 Å, b = 2.6914 Å, c = 26.6055 Å
α = 90.00°, β = 90.00°, γ = 120.00°
Space group R3m (No. 160, hexagonal axes)
Inequivalent atoms, fractional coordinates:
Tc  0.0000  0.0000  0.0000
Pt  0.0000  0.0000  0.7508
Rh  0.0000  0.0000  0.2536
Rh  0.0000  0.0000  0.5035

Size of the total moment, μB per cell: 0.00
Crystal system: trigonal
Calculated volume, Å³/atom: 13.9

(Q)
Below is a PBEsol-optimized structure of TcPtRh2, with properties calculated at the SCAN level.

a = 2.683 Å, b = 3.838 Å, c = 5.388 Å
α = 90.00°, β = 90.00°, γ = 90.00°
Space group Pmm2 (No. 25)
Inequivalent atoms, fractional coordinates:
Tc  0.000  0.000  0.000
Pt  0.500  0.500  0.256
Rh  0.000  0.000  0.515
Rh  0.500  0.500  0.766

Size of the total moment, μB per cell: 0.00
Crystal system: orthorhombic
Calculated volume, Å³/atom: 13.9

(R)
Below is a PBEsol-optimized structure of TcPtRh2, with properties calculated at the SCAN level.

a = 3.828 Å, b = 3.828 Å, c = 3.784 Å
α = 90.00°, β = 90.00°, γ = 90.00°
Space group P4/mmm (No. 123)
Inequivalent atoms, fractional coordinates:
Tc  0.000  0.000  0.000
Pt  0.500  0.500  0.000
Rh  0.000  0.500  0.500

Size of the total moment, μB per cell: 0.00
Crystal system: tetragonal
Calculated volume, Å³/atom: 13.9

Relative energies in eV/atom: (P) 0.051; (Q) 0.000; (R) 0.061

(P)
Below is a PBEsol-optimized structure of TcPtRh2, with properties calculated at the SCAN level.

a = 2.689 Å, b = 3.797 Å, c = 5.435 Å
α = 90.00°, β = 90.00°, γ = 90.00°
Space group Pmmm (No. 47)
Inequivalent atoms, fractional coordinates:
Tc  0.000  0.000  0.000
Pt  0.000  0.000  0.500
Rh  0.500  0.500  0.240

Size of the total moment, μB per cell: 0.00
Crystal system: orthorhombic
Calculated volume, Å³/atom: 13.9

(Q)
Below is a PBEsol-optimized structure of TcPtRh2, with properties calculated at the SCAN level.

a = 2.682 Å, b = 2.682 Å, c = 7.722 Å
α = 90.00°, β = 90.00°, γ = 90.00°
Space group P4mm (No. 99)
Inequivalent atoms, fractional coordinates:
Tc  0.000  0.000  0.000
Pt  0.500  0.500  0.252
Rh  0.000  0.000  0.512
Rh  0.500  0.500  0.760

Size of the total moment, μB per cell: 0.00
Crystal system: tetragonal
Calculated volume, Å³/atom: 13.9

(R)
Below is a PBEsol-optimized structure of TcPtRh2, with properties calculated at the SCAN level.

a = 2.6909 Å, b = 2.6909 Å, c = 26.6676 Å
α = 90.00°, β = 90.00°, γ = 120.00°
Space group R-3m (No. 166, hexagonal axes)
Inequivalent atoms, fractional coordinates:
Tc  0.0000  0.0000  0.0000
Pt  0.0000  0.0000  0.5000
Rh  0.0000  0.0000  0.2536

Size of the total moment, μB per cell: 0.00
Crystal system: trigonal
Calculated volume, Å³/atom: 13.9

(S)
Below is a PBEsol-optimized structure of TcPtRh2, with properties calculated at the SCAN level.

a = 5.409 Å, b = 7.628 Å, c = 2.689 Å
α = 90.00°, β = 90.00°, γ = 90.00°
Space group Cmmm (No. 65)
Inequivalent atoms, fractional coordinates:
Tc  0.000  0.000  0.000
Pt  0.000  0.500  0.000
Rh  0.250  0.250  0.500

Size of the total moment, μB per cell: 0.00
Crystal system: orthorhombic
Calculated volume, Å³/atom: 13.9

Relative energies in eV/atom: (P) 0.000; (Q) 0.030; (R) 0.022; (S) 0.086

(P)
Below is a PBEsol-optimized structure of TcPtRh2, with properties calculated at the SCAN level.

a = 3.811 Å, b = 3.811 Å, c = 7.635 Å
α = 90.00°, β = 90.00°, γ = 90.00°
Space group I4/mmm (No. 139)
Inequivalent atoms, fractional coordinates:
Tc  0.000  0.000  0.000
Pt  0.000  0.000  0.500
Rh  0.000  0.500  0.250

Size of the total moment, μB per cell: 0.00
Crystal system: tetragonal
Calculated volume, Å³/atom: 13.9

(Q)
Below is a PBEsol-optimized structure of TcPtRh2, with properties calculated at the SCAN level.

a = 8.988 Å, b = 2.683 Å, c = 4.667 Å
α = 90.00°, β = 99.83°, γ = 90.00°
Space group Cm (No. 8)
Inequivalent atoms, fractional coordinates:
Tc  0.000  0.000  0.000
Pt  0.250  0.500  0.254
Rh  0.003  0.500  0.510
Rh  0.253  0.000  0.762

Size of the total moment, μB per cell: 0.00
Crystal system: monoclinic
Calculated volume, Å³/atom: 13.9

Relative energies in eV/atom: (P) 0.000; (Q) 0.025

(P)
Below is a PBEsol-optimized structure of TcPtRh2, with properties calculated at the SCAN level.

a = 3.792 Å, b = 3.792 Å, c = 7.706 Å
α = 90.00°, β = 90.00°, γ = 90.00°
Space group I-4m2 (No. 119)
Inequivalent atoms, fractional coordinates:
Tc  0.000  0.000  0.000
Pt  0.000  0.500  0.750
Rh  0.000  0.000  0.500
Rh  0.000  0.500  0.250

Size of the total moment, μB per cell: 0.00
Crystal system: tetragonal
Calculated volume, Å³/atom: 13.9

(Q)
Below is a PBEsol-optimized structure of TcPtRh2, with properties calculated at the SCAN level.

a = 8.966 Å, b = 2.678 Å, c = 4.688 Å
α = 90.00°, β = 99.68°, γ = 90.00°
Space group C2/m (No. 12)
Inequivalent atoms, fractional coordinates:
Tc  0.000  0.000  0.000
Pt  0.000  0.500  0.500
Rh  0.247  0.500  0.242

Size of the total moment, μB per cell: 0.00
Crystal system: monoclinic
Calculated volume, Å³/atom: 13.9

Relative energies in eV/atom: (P) 0.018; (Q) 0.000

(P)
Below is a PBEsol-optimized structure of TcPtRh, with properties calculated at the SCAN level.

a = 2.695 Å, b = 2.695 Å, c = 11.586 Å
α = 90.00°, β = 90.00°, γ = 90.00°
Space group I4mm (No. 107)
Inequivalent atoms, fractional coordinates:
Tc  0.000  0.000  0.000
Pt  0.000  0.000  0.668
Rh  0.000  0.000  0.346

Size of the total moment, μB per cell: 0.00
Crystal system: tetragonal
Calculated volume, Å³/atom: 14.0

(Q)
Below is a PBEsol-optimized structure of TcPtRh, with properties calculated at the SCAN level.

a = 2.7034 Å, b = 2.7034 Å, c = 6.6667 Å
α = 90.00°, β = 90.00°, γ = 120.00°
Space group P3m1 (No. 156)
Inequivalent atoms, fractional coordinates:
Tc  0.0000  0.0000  0.0000
Pt  0.3333  0.6667  0.6631
Rh  0.6667  0.3333  0.3138

Size of the total moment, μB per cell: 0.00
Crystal system: trigonal
Calculated volume, Å³/atom: 14.1

Relative energies in eV/atom: (P) 0.000; (Q) 0.097

(P)
Below is a PBEsol-optimized structure of TePtRh2, with properties calculated at the SCAN level.

a = 8.431 Å, b = 3.500 Å, c = 4.565 Å
α = 90.00°, β = 108.42°, γ = 90.00°
Space group C2/m (No. 12)
Inequivalent atoms, fractional coordinates:
Te  0.000  0.000  0.000
Pt  0.000  0.500  0.500
Rh  0.246  0.500  0.253

Size of the total moment, μB per cell: 0.00
Crystal system: monoclinic
Calculated volume, Å³/atom: 16.0

(Q)
Below is a PBEsol-optimized structure of TePtRh2, with properties calculated at the SCAN level.

a = 6.327 Å, b = 6.327 Å, c = 6.327 Å
α = 90.00°, β = 90.00°, γ = 90.00°
Space group F-43m (No. 216)
Inequivalent atoms, fractional coordinates:
Te  0.000  0.000  0.000
Pt  0.250  0.250  0.250
Rh  0.000  0.000  0.500
Rh  0.250  0.250  0.750

Size of the total moment, μB per cell: 0.00
Crystal system: cubic
Calculated volume, Å³/atom: 15.8

Relative energies in eV/atom: (P) 0.000; (Q) 0.101

(P)
Below is a PBEsol-optimized structure of Tl2PtRh, with properties calculated at the SCAN level.

a = 3.155 Å, b = 4.466 Å, c = 5.478 Å
α = 90.00°, β = 106.81°, γ = 90.00°
Space group Pm (No. 6)
Inequivalent atoms, fractional coordinates:
Tl  0.000  0.000  0.000
Tl  0.287  0.500  0.578
Pt  0.559  0.500  0.116
Rh  0.731  0.000  0.468

Size of the total moment, μB per cell: 0.00
Crystal system: monoclinic
Calculated volume, Å³/atom: 18.5

(Q)
Below is a PBEsol-optimized structure of Tl2PtRh, with properties calculated at the SCAN level.

a = 3.073 Å, b = 4.378 Å, c = 5.571 Å
α = 90.00°, β = 90.00°, γ = 90.00°
Space group Pmm2 (No. 25)
Inequivalent atoms, fractional coordinates:
Tl  0.000  0.000  0.000
Tl  0.500  0.500  0.374
Pt  0.000  0.000  0.515
Rh  0.500  0.500  0.872

Size of the total moment, μB per cell: 0.00
Crystal system: orthorhombic
Calculated volume, Å³/atom: 18.7

Relative energies in eV/atom: (P) 0.000; (Q) 0.075

(P)
Below is a PBEsol-optimized structure of TlPtRh2, with properties calculated at the SCAN level.

a = 2.840 Å, b = 4.797 Å, c = 9.320 Å
α = 90.00°, β = 90.00°, γ = 90.00°
Space group Immm (No. 71)
Inequivalent atoms, fractional coordinates:
Tl  0.000  0.000  0.000
Pt  0.000  0.000  0.500
Rh  0.000  0.500  0.245

Size of the total moment, μB per cell: 0.00
Crystal system: orthorhombic
Calculated volume, Å³/atom: 15.9

(Q)
Below is a PBEsol-optimized structure of TlPtRh2, with properties calculated at the SCAN level.

a = 2.822 Å, b = 4.669 Å, c = 4.839 Å
α = 90.00°, β = 90.67°, γ = 90.00°
Space group P2/m (No. 10)
Inequivalent atoms, fractional coordinates:
Tl  0.000  0.000  0.000
Pt  0.500  0.000  0.500
Rh  0.259  0.500  0.736

Size of the total moment, μB per cell: 0.00
Crystal system: monoclinic
Calculated volume, Å³/atom: 15.9

(R)
Below is a PBEsol-optimized structure of TlPtRh2, with properties calculated at the SCAN level.

a = 9.154 Å, b = 2.899 Å, c = 4.811 Å
α = 90.00°, β = 100.46°, γ = 90.00°
Space group Cm (No. 8)
Inequivalent atoms, fractional coordinates:
Tl  0.000  0.000  0.000
Pt  0.245  0.000  0.729
Rh  0.252  0.500  0.264
Rh  0.496  0.000  0.493

Size of the total moment, μB per cell: 0.00
Crystal system: monoclinic
Calculated volume, Å³/atom: 15.7

Relative energies in eV/atom: (P) 0.121; (Q) 0.098; (R) 0.000

(P)
Below is a PBEsol-optimized structure of ZnPtRh, with properties calculated at the SCAN level.

a = 2.737 Å, b = 2.737 Å, c = 11.066 Å
α = 90.00°, β = 90.00°, γ = 90.00°
Space group I4mm (No. 107)
Inequivalent atoms, fractional coordinates:
Zn  0.000  0.000  0.000
Pt  0.000  0.000  0.666
Rh  0.000  0.000  0.340

Size of the total moment, μB per cell: 1.18
Crystal system: tetragonal
Calculated volume, Å³/atom: 13.8

(Q)
Below is a PBEsol-optimized structure of ZnPtRh, with properties calculated at the SCAN level.

a = 5.724 Å, b = 5.724 Å, c = 5.724 Å
α = 90.00°, β = 90.00°, γ = 90.00°
Space group F-43m (No. 216)
Inequivalent atoms, fractional coordinates:
Zn  0.000  0.000  0.000
Pt  0.250  0.250  0.750
Rh  0.250  0.250  0.250

Size of the total moment, μB per cell: 0.00
Crystal system: cubic
Calculated volume, Å³/atom: 15.6

Relative energies in eV/atom: (P) 0.000; (Q) 0.347

(P)
Below is a PBEsol-optimized structure of Ru2Pt, with properties calculated at the SCAN level.

a = 2.690 Å, b = 2.690 Å, c = 11.491 Å
α = 90.00°, β = 90.00°, γ = 90.00°
Space group I4/mmm (No. 139)
Inequivalent atoms, fractional coordinates:
Ru  0.000  0.000  0.175
Pt  0.000  0.000  0.500

Size of the total moment, μB per cell: 0.00
Crystal system: tetragonal
Calculated volume, Å³/atom: 13.9

(Q)
Below is a PBEsol-optimized structure of Ru2Pt, with properties calculated at the SCAN level.

a = 9.887 Å, b = 2.712 Å, c = 6.394 Å
α = 90.00°, β = 104.24°, γ = 90.00°
Space group Cm (No. 8)
Inequivalent atoms, fractional coordinates:
Ru  0.000  0.000  0.000
Ru  0.055  0.000  0.614
Ru  0.220  0.500  0.948
Ru  0.392  0.000  0.271
Pt  0.164  0.500  0.330
Pt  0.336  0.000  0.673

Size of the total moment, μB per cell: 0.00
Crystal system: monoclinic
Calculated volume, Å³/atom: 13.8

Relative energies in eV/atom: (P) 0.000; (Q) 0.083